PaCdAs | PBE | optimized geometry

SG = F-43m, No. 216
mass density = 8.4 g/cm3
magnetization = 0.4658 μB per atom
excess energy over the best structure of this formula in the dataset = 80.0 meV per atom
final energy = -4.94 eV/atom

a b c (Å): 4.888 4.888 4.888
angles (deg): 60.00 60.00 60.00
Fractional positions:
1 Pa 0.000 0.000 0.000
2 Cd 0.250 0.250 0.250
3 As 0.750 0.750 0.750